Entry 1:
! RbZn3Pt | Alexandria via LeMat-Bulk | GGA-PBE | relaxed; values from VASP
&SYSTEM
  ibrav = 0, nat = 5, ntyp = 3
/
ATOMIC_SPECIES
Zn 65.41 Zn.upf
Rb 85.47 Rb.upf
Pt 195.08 Pt.upf
ATOMIC_POSITIONS angstrom
Zn 0.338 -2.330 2.256
Zn -2.126 1.554 1.924
Zn -2.450 -1.670 -1.358
Rb 0.000 0.000 0.000
Pt -4.237 -2.447 2.821
CELL_PARAMETERS angstrom
-4.899 -3.340 -2.716
0.676 -4.661 4.511
-4.251 3.107 3.848
! Energy relative to the elements, eV/atom: 1.401
! Magnetization, μB per formula unit: 1.00


Entry 2:
! RbZn2Pt | Alexandria via LeMat-Bulk | GGA-PBE | relaxed; values from VASP
&SYSTEM
  ibrav = 0, nat = 8, ntyp = 3
/
ATOMIC_SPECIES
Zn 65.41 Zn.upf
Rb 85.47 Rb.upf
Pt 195.08 Pt.upf
ATOMIC_POSITIONS angstrom
Zn 5.358 1.340 2.078
Zn 5.362 4.020 2.078
Zn 4.020 2.682 6.234
Zn 6.700 2.678 6.234
Rb 2.680 2.680 0.000
Rb 2.680 5.360 4.156
Pt 0.000 0.000 0.000
Pt 5.360 2.680 4.156
CELL_PARAMETERS angstrom
5.360 0.000 0.000
0.000 5.360 0.000
2.680 2.680 8.312
! Energy relative to the elements, eV/atom: -0.119
! Magnetization, μB per formula unit: 0.00


Entry 3:
! Rb3ZrPt | Alexandria via LeMat-Bulk | GGA-PBE | relaxed; values from VASP
&SYSTEM
  ibrav = 0, nat = 5, ntyp = 3
/
ATOMIC_SPECIES
Rb 85.47 Rb.upf
Zr 91.22 Zr.upf
Pt 195.08 Pt.upf
ATOMIC_POSITIONS angstrom
Rb 1.342 -1.923 -2.212
Rb 2.336 -0.767 2.085
Rb -1.770 -2.471 1.074
Zr 1.909 -5.161 0.947
Pt 0.000 0.000 0.000
CELL_PARAMETERS angstrom
-3.540 -4.942 2.149
2.685 -3.846 -4.423
4.672 -1.534 4.169
! Energy relative to the elements, eV/atom: 0.988
! Magnetization, μB per formula unit: 3.00


Question: Number 3 is which compound?
Answer: Rb3ZrPt


Question: Look up the magnetization of the first one.
Answer: 1.00 μB per formula unit


Question: Look up the magnetization of the first one.
Answer: 1.00 μB per formula unit


Question: Which of these has the lowest energy relative to the elements?
Answer: RbZn2Pt